Record 1
4
Lattice="4.129 0.000 0.000 0.000 4.129 0.000 0.000 0.000 5.794" Properties=species:S:1:pos:R:3 comment="CaLaPt2, single point on PBEsol structure, DFT meta-GGA SCAN" spacegroup="P4/mmm, No. 123" m_tot_mub_per_fu=0.0 total_energy_ev_per_atom=-49.3839 pbc="T T T"
Ca 0.000 0.000 0.000
Pt 0.000 0.000 2.897
Pt 2.065 2.065 0.000
La 2.065 2.065 2.897

---

Record 2
4
Lattice="-0.328 2.653 0.122 -4.097 -0.564 1.253 1.774 -1.364 5.185" Properties=species:S:1:pos:R:3 comment="Ta2CuAg, single point on PBEsol structure, DFT meta-GGA SCAN" spacegroup="Pm, No. 6" e_above_lowest_polymorph_ev_per_atom=0.023 m_tot_mub_per_fu=0.0 total_energy_ev_per_atom=-44.6850 pbc="T T T"
Ag 0.832 -0.182 2.638
Cu -0.806 -0.480 4.600
Ta 1.423 1.123 5.156
Ta -1.767 0.870 2.065

---

Record 3
4
Lattice="3.173 0.000 0.000 1.586 2.748 0.000 1.586 0.916 8.396" Properties=species:S:1:pos:R:3 comment="Al2SbMo, single point on PBEsol structure, DFT meta-GGA SCAN" spacegroup="R3m, No. 160" m_tot_mub_per_fu=0.0 e_form_raw_ev_per_atom=0.228 total_energy_ev_per_atom=-21.6844 pbc="T T T"
Sb 1.586 0.916 2.239
Mo 3.173 1.832 4.237
Al 1.586 0.916 8.317
Al 4.759 2.748 6.196

---

Record 4
5
Lattice="4.550 0.000 0.000 0.000 4.550 0.000 0.000 0.000 4.550" Properties=species:S:1:pos:R:3 comment="BiIrF3, single point on PBEsol structure, DFT meta-GGA SCAN" spacegroup="Pm-3m, No. 221" m_tot_mub_per_fu=3.0 e_form_raw_ev_per_atom=-0.475 total_energy_ev_per_atom=-32.5345 pbc="T T T"
Ir 2.275 2.275 2.275
Bi 0.000 0.000 0.000
F 0.000 2.275 0.000
F 0.000 0.000 2.275
F 2.275 0.000 0.000

---

Record 5
4
Lattice="-3.001 -0.712 1.825 1.305 -4.178 0.516 2.025 1.096 3.758" Properties=species:S:1:pos:R:3 comment="MgCr2In, single point on PBEsol structure, DFT meta-GGA SCAN" spacegroup="P4/mmm, No. 123" m_tot_mub_per_fu=7.5 total_energy_ev_per_atom=-18.6718 pbc="T T T"
Cr 1.012 0.548 1.879
Cr 0.652 -2.089 0.258
In 0.164 -1.897 3.049
Mg -1.500 -0.356 0.912

---

Record 6
4
Lattice="-1.231 2.655 2.779 -4.132 -1.810 -0.100 1.175 -2.864 3.258" Properties=species:S:1:pos:R:3 comment="CaFeAs2, single point on PBEsol structure, DFT meta-GGA SCAN" spacegroup="Pmm2, No. 25" e_above_lowest_polymorph_ev_per_atom=0.121 m_tot_mub_per_fu=2.1 total_energy_ev_per_atom=-17.4299 pbc="T T T"
As -3.940 -1.726 -0.096
As -0.640 -1.970 1.599
Ca -2.530 0.489 1.343
Fe -2.659 -2.854 1.550

---

Record 7
4
Lattice="2.948 0.000 0.000 0.000 5.771 0.000 0.000 -2.885 5.770" Properties=species:S:1:pos:R:3 comment="K2RePb, single point on PBEsol structure, DFT meta-GGA SCAN" spacegroup="Cmmm, No. 65" m_tot_mub_per_fu=0.0 total_energy_ev_per_atom=-39.8088 pbc="T T T"
K 0.000 -1.443 2.885
K 0.000 1.443 2.885
Pb 1.474 2.885 0.000
Re 1.474 0.000 0.000

---

Record 8
8
Lattice="5.359 0.000 0.000 2.680 5.281 0.000 2.680 0.000 5.281" Properties=species:S:1:pos:R:3 comment="HfAl2As, single point on PBEsol structure, DFT meta-GGA SCAN" spacegroup="I-42d, No. 122" m_tot_mub_per_fu=0.0 total_energy_ev_per_atom=-24.6460 pbc="T T T"
As 4.019 2.641 2.641
As 2.680 0.000 0.000
Hf 6.699 2.641 2.641
Hf 0.000 0.000 0.000
Al 4.689 5.096 2.455
Al 4.689 0.185 2.826
Al 3.350 2.455 0.185
Al 8.709 2.826 5.096

---

Record 9
4
Lattice="3.787 0.000 0.000 0.000 3.787 0.000 -1.893 -1.893 3.731" Properties=species:S:1:pos:R:3 comment="Cr2PtW, single point on PBEsol structure, DFT meta-GGA SCAN" spacegroup="I4/mmm, No. 139" e_above_lowest_polymorph_ev_per_atom=0.094 m_tot_mub_per_fu=0.0 total_energy_ev_per_atom=-44.1078 pbc="T T T"
Cr 1.893 0.000 1.866
Cr 0.000 1.893 1.866
Pt 1.893 1.893 0.000
W 0.000 0.000 0.000

---

Record 10
4
Lattice="-1.837 -0.341 -2.135 -0.726 -4.387 1.326 -3.653 1.483 2.906" Properties=species:S:1:pos:R:3 comment="ZnSi2Cl, single point on PBEsol structure, DFT meta-GGA SCAN" spacegroup="Pmmm, No. 47" e_above_lowest_polymorph_ev_per_atom=0.072 m_tot_mub_per_fu=0.0 e_form_raw_ev_per_atom=0.437 total_energy_ev_per_atom=-9.9445 pbc="T T T"
Cl -2.189 -1.452 2.116
Si 0.000 0.000 0.000
Si -2.745 0.571 0.385
Zn -1.282 -2.364 -0.405